1.
# SCAN MgTa3, single point on PBEsol structure
# Energy, eV/atom: -50.8868
data_MgTa3
_chemical_formula_sum 'Mg2 Ta6'
_space_group_name_H-M_alt 'C m m m'
_space_group_IT_number 65
_space_group_name_Hall '-C 2 2'
_cell_length_a 5.8066
_cell_length_b 8.8604
_cell_length_c 2.8108
_cell_angle_alpha 90.00
_cell_angle_beta 90.00
_cell_angle_gamma 90.00
loop_
_atom_site_label
_atom_site_type_symbol
_atom_site_fract_x
_atom_site_fract_y
_atom_site_fract_z
Mg1 Mg 0.0000 0.0000 0.0000
Ta1 Ta 0.0000 0.5000 0.0000
Ta2 Ta 0.2500 0.2500 0.5000

=====

2.
# SCAN LiTcSb2, single point on PBEsol structure
# Energy, eV/atom: -28.0402
data_LiTcSb2
_chemical_formula_sum 'Li2 Tc2 Sb4'
_space_group_name_H-M_alt 'C 1 2/m 1'
_space_group_IT_number 12
_space_group_name_Hall '-C 2y'
_cell_length_a 8.3678
_cell_length_b 3.3098
_cell_length_c 5.6500
_cell_angle_alpha 90.00
_cell_angle_beta 100.82
_cell_angle_gamma 90.00
loop_
_atom_site_label
_atom_site_type_symbol
_atom_site_fract_x
_atom_site_fract_y
_atom_site_fract_z
Li1 Li 0.0000 0.0000 0.0000
Tc1 Tc 0.0000 0.5000 0.5000
Sb1 Sb 0.2368 0.0000 0.7261

=====

3.
# SCAN Lu2Se3, single point on PBEsol structure
# Energy, eV/atom: -36.2612
data_Lu2Se3
_chemical_formula_sum 'Lu32 Se48'
_space_group_name_H-M_alt 'F d d d'
_space_group_IT_number 70
_cell_length_a 7.9143
_cell_length_b 11.1127
_cell_length_c 23.6138
_cell_angle_alpha 90.00
_cell_angle_beta 90.00
_cell_angle_gamma 90.00
loop_
_space_group_symop_operation_xyz
'x,y,z'
'-x,-y,-z'
'-x+1/4,-y+1/4,z'
'x+1/4,y+1/4,-z'
'x,-y+1/4,-z+1/4'
'-x,y+1/4,z+1/4'
'-x+1/4,y,-z+1/4'
'x+1/4,-y,z+1/4'
'x,y+1/2,z+1/2'
'-x,-y+1/2,-z+1/2'
'-x+1/4,-y+3/4,z+1/2'
'x+1/4,y+3/4,-z+1/2'
'x,-y+3/4,-z+3/4'
'-x,y+3/4,z+3/4'
'-x+1/4,y+1/2,-z+3/4'
'x+1/4,-y+1/2,z+3/4'
'x+1/2,y,z+1/2'
'-x+1/2,-y,-z+1/2'
'-x+3/4,-y+1/4,z+1/2'
'x+3/4,y+1/4,-z+1/2'
'x+1/2,-y+1/4,-z+3/4'
'-x+1/2,y+1/4,z+3/4'
'-x+3/4,y,-z+3/4'
'x+3/4,-y,z+3/4'
'x+1/2,y+1/2,z'
'-x+1/2,-y+1/2,-z'
'-x+3/4,-y+3/4,z'
'x+3/4,y+3/4,-z'
'x+1/2,-y+3/4,-z+1/4'
'-x+1/2,y+3/4,z+1/4'
'-x+3/4,y+1/2,-z+1/4'
'x+3/4,-y+1/2,z+1/4'
loop_
_atom_site_label
_atom_site_type_symbol
_atom_site_fract_x
_atom_site_fract_y
_atom_site_fract_z
Lu1 Lu 0.1250 0.1250 0.0414
Lu2 Lu 0.1250 0.1250 0.3770
Se1 Se 0.1201 0.3739 0.2070
Se2 Se 0.1219 0.3750 0.3750

=====

4.
# SCAN Cd3NiPd, single point on PBEsol structure
# Energy, eV/atom: -27.3256
data_Cd3NiPd
_chemical_formula_sum 'Cd3 Ni1 Pd1'
_space_group_name_H-M_alt 'P m -3 m'
_space_group_IT_number 221
_space_group_name_Hall '-P 4 2 3'
_cell_length_a 4.9871
_cell_length_b 4.9871
_cell_length_c 4.9871
_cell_angle_alpha 90.00
_cell_angle_beta 90.00
_cell_angle_gamma 90.00
loop_
_atom_site_label
_atom_site_type_symbol
_atom_site_fract_x
_atom_site_fract_y
_atom_site_fract_z
Cd1 Cd 0.0000 0.0000 0.5000
Ni1 Ni 0.5000 0.5000 0.5000
Pd1 Pd 0.0000 0.0000 0.0000

=====

5.
# SCAN Y2AgGe2, single point on PBEsol structure
# Energy, eV/atom: -25.8626
data_Y2AgGe2
_chemical_formula_sum 'Y4 Ag2 Ge4'
_space_group_name_H-M_alt 'P 4/m b m'
_space_group_IT_number 127
_space_group_name_Hall '-P 4 2ab'
_cell_length_a 7.0311
_cell_length_b 7.0311
_cell_length_c 4.2259
_cell_angle_alpha 90.00
_cell_angle_beta 90.00
_cell_angle_gamma 90.00
loop_
_atom_site_label
_atom_site_type_symbol
_atom_site_fract_x
_atom_site_fract_y
_atom_site_fract_z
Y1 Y 0.1752 0.3248 0.0000
Ag1 Ag 0.0000 0.0000 0.5000
Ge1 Ge 0.1268 0.6268 0.5000

=====

6.
# SCAN Hf2IO, single point on PBEsol structure
# Energy, eV/atom: -42.9535
data_Hf2IO
_chemical_formula_sum 'Hf8 I4 O4'
_space_group_name_H-M_alt 'I -4 2 d'
_space_group_IT_number 122
_space_group_name_Hall 'I -4 2bw'
_cell_length_a 5.5447
_cell_length_b 5.5447
_cell_length_c 11.2804
_cell_angle_alpha 90.00
_cell_angle_beta 90.00
_cell_angle_gamma 90.00
loop_
_atom_site_label
_atom_site_type_symbol
_atom_site_fract_x
_atom_site_fract_y
_atom_site_fract_z
Hf1 Hf 0.1195 0.2500 0.1250
I1 I 0.0000 0.0000 0.5000
O1 O 0.0000 0.0000 0.0000